Computed, not measured: Er4ScPd2 after structural relaxation at the PBE-GGA level of DFT.

extended XYZ file:
```
7
Lattice="2.544 1.469 8.313 -2.544 1.469 8.313 0.000 -2.937 8.313" Properties=species:S:1:pos:R:3 pbc="T T T"
Er 0.000 0.000 2.971
Er 0.000 0.000 7.179
Er 0.000 0.000 17.759
Er 0.000 0.000 21.968
Sc 0.000 0.000 12.469
Pd 0.000 0.000 9.929
Pd 0.000 0.000 15.010
```

- E_form: -2.3 eV/f.u.
- Density of states at the Fermi level: 6.71 states/eV/cell
- Magnetic moment: 0.00 μB per atom

Computed, not measured: ErScPd after structural relaxation at the PBE-GGA level of DFT.

extended XYZ file:
```
3
Lattice="-1.716 1.716 5.762 1.716 -1.716 5.762 1.716 1.716 -5.762" Properties=species:S:1:pos:R:3 pbc="T T T"
Er 0.000 0.000 0.000
Sc 0.000 0.000 3.262
Pd 0.000 0.000 7.558
```

- E_form: -1.7 eV/f.u.
- Density of states at the Fermi level: 2.90 states/eV/cell
- Magnetic moment: 0.00 μB per atom
- Energy above the most stable polymorph in this dataset: 0.25 eV/f.u.

Computed, not measured: ErSc4Pd5 after structural relaxation at the PBE-GGA level of DFT.

extended XYZ file:
```
10
Lattice="3.294 0.000 0.000 0.000 3.294 0.000 0.000 0.000 17.210" Properties=species:S:1:pos:R:3 pbc="T T T"
Er 0.000 0.000 0.000
Sc 0.000 0.000 3.542
Sc 0.000 0.000 6.920
Sc 0.000 0.000 10.290
Sc 0.000 0.000 13.667
Pd 1.647 1.647 1.913
Pd 1.647 1.647 5.236
Pd 1.647 1.647 8.605
Pd 1.647 1.647 11.974
Pd 1.647 1.647 15.296
```

- E_form: -9.0 eV/f.u.
- Density of states at the Fermi level: 6.15 states/eV/cell
- Magnetic moment: 0.00 μB per atom

Computed, not measured: ErScPd4 after structural relaxation at the PBE-GGA level of DFT.

extended XYZ file:
```
6
Lattice="3.953 0.000 0.000 0.000 3.953 0.000 0.000 0.000 7.881" Properties=species:S:1:pos:R:3 pbc="T T T"
Er 0.000 0.000 0.000
Sc 1.977 1.977 3.940
Pd 0.000 1.977 2.065
Pd 0.000 1.977 5.816
Pd 1.977 0.000 2.065
Pd 1.977 0.000 5.816
```

- E_form: -3.6 eV/f.u.
- Density of states at the Fermi level: 2.65 states/eV/cell
- Magnetic moment: 0.00 μB per atom
- Energy above the most stable polymorph in this dataset: 1.06 eV/f.u.

Q: The lowest density of states at the Fermi level belongs to which entry?
A: ErScPd4

Q: Look up the magnetic moment of the second one.
A: 0.00 μB per atom